Compound: PuBe2CrO8
Source: Alexandria
Functional: PBE with a Hubbard U
Structure: relaxed

Unit cell a=4.8191 b=4.8191 c=6.7853 alpha=90.00 beta=90.00 gamma=120.00
Closest atoms and distances in Å follow each position.
Element x y z (fractional)
Pu: 0.0000 0.0000 0.5000  6 O 1.97
Be: 0.3333 0.6667 0.7577  4 O 1.60-1.61
Be: 0.6667 0.3333 0.2423  4 O 1.60-1.61
O: 0.6667 0.3333 0.0071  1 Be 1.60
O: 0.3333 0.6667 0.9929  1 Be 1.60
O: 0.2933 0.9631 0.6863  1 Be 1.61
O: 0.6697 0.7067 0.6863  1 Be 1.61
O: 0.0369 0.3303 0.6863  1 Be 1.61
O: 0.3303 0.2933 0.3137  1 Be 1.61
O: 0.7067 0.0369 0.3137  1 Be 1.61
O: 0.9631 0.6697 0.3137  1 Be 1.61
Cr: 0.0000 0.0000 0.0000  12 O 2.61-2.78

total magnetic moment	2.0	μB per formula unit
symmetry	P-3, No. 147
D(E_F)	3.82	states/eV per cell
energy	-7.22	eV per atom